Entry from Alexandria: Re3MoF after structural relaxation (PBE with a Hubbard U).

ρ in g/cm3: 10.58
Total magnetic moment in μB/f.u.: 0.00
E above lowest polymorph in kJ/mol of formula units: 621

```
data_Re3MoF
_space_group_name_H-M_alt 'P m -3 m'
_space_group_IT_number 221
_space_group_name_Hall '-P 4 2 3'
_cell_length_a 4.7283
_cell_length_b 4.7283
_cell_length_c 4.7283
_cell_angle_alpha 90.00
_cell_angle_beta 90.00
_cell_angle_gamma 90.00
loop_
_atom_site_label
_atom_site_fract_x
_atom_site_fract_y
_atom_site_fract_z
Re1 0.0000 0.0000 0.5000
Mo1 0.0000 0.0000 0.0000
F1 0.5000 0.5000 0.5000
```